A relaxed NaZrBeAu crystal, computed with GGA-PBE.

Output
crystal system = cubic
distance to the lowest polymorph of the same formula = 0.00 eV/f.u.
SG = F-43m

Structure (POSCAR):
```
NaZrBeAu
1.0
0.0000 3.2340 3.2340
3.2340 0.0000 3.2340
3.2340 3.2340 0.0000
Zr Au Na Be
1 1 1 1
Cartesian
0.0000 0.0000 0.0000
4.8510 4.8510 4.8510
1.6170 1.6170 1.6170
3.2340 3.2340 3.2340
```

A relaxed ScGaCo2 crystal, computed with GGA-PBE.

Output
VASP energy = -6.04 eV/atom
crystal system = cubic
SG = F-43m

Structure (POSCAR):
```
ScGaCo2
1.0
0.0000 3.0288 3.0288
3.0288 0.0000 3.0288
3.0288 3.0288 0.0000
Co Sc Ga
2 1 1
Cartesian
3.0288 3.0288 3.0288
4.5432 4.5432 4.5432
1.5144 1.5144 1.5144
0.0000 0.0000 0.0000
```

A relaxed SrHgSeO crystal, computed with GGA-PBE.

Output
crystal system = tetragonal
distance to the lowest polymorph of the same formula = 0.84 eV/f.u.
SG = P4/nmm

Structure (POSCAR):
```
SrHgSeO
1.0
3.9669 0.0000 0.0000
0.0000 3.9669 0.0000
0.0000 0.0000 11.1661
Sr O Se Hg
2 2 2 2
Cartesian
2.9752 2.9752 4.1329
0.9917 0.9917 7.0332
2.9752 2.9752 6.5480
0.9917 0.9917 4.6181
0.9917 0.9917 2.6011
2.9752 2.9752 8.5650
0.9917 2.9752 0.0000
2.9752 0.9917 0.0000
```

A relaxed SmFeHg crystal, computed with GGA-PBE.

Output
crystal system = cubic
DFT formation energy = 0.378 eV per atom
distance to the lowest polymorph of the same formula = 0.00 eV/f.u.
SG = F-43m

Structure (POSCAR):
```
SmFeHg
1.0
0.0000 3.3989 3.3989
3.3989 0.0000 3.3989
3.3989 3.3989 0.0000
Hg Fe Sm
1 1 1
Cartesian
0.0000 0.0000 0.0000
1.6994 1.6994 1.6994
5.0983 5.0983 5.0983
```

A relaxed PaPt crystal, computed with GGA-PBE.

Output
crystal system = cubic
DFT formation energy = -0.007 eV per atom
SG = F-43m

Structure (POSCAR):
```
PaPt
1.0
-2.8148 -3.2079 1.3622
-4.3600 0.2767 -0.9914
-1.8016 -2.8143 -2.9838
Pa Pt
1 1
Cartesian
0.0000 0.0000 0.0000
-2.2441 -1.4364 -0.6533
```

A relaxed HoCuGe crystal, computed with GGA-PBE.

Output
VASP energy = -4.89 eV/atom
crystal system = cubic
SG = F-43m

Structure (POSCAR):
```
HoCuGe
1.0
-2.7523 -2.6143 -2.2029
-3.8163 1.5821 -1.4815
-0.6089 0.5860 -4.3068
Cu Ge Ho
1 1 1
Cartesian
0.0000 0.0000 0.0000
-1.7944 -0.1115 -1.9978
-5.3831 -0.3346 -5.9934
```